one | A plane-wave DFT calculation with PBE was carried out for crystalline Tb2CdRh3 at its relaxed geometry.

Space-group type ... P-3m1, No. 164
Volume ... 227.9 Å³/cell

a = 4.7500 Å, b = 4.7500 Å, c = 11.6637 Å
α = 90.00°, β = 90.00°, γ = 120.00°
Sites, in units of the cell vectors:
Tb: 0.0000 0.0000 0.0000
Tb: 0.0000 0.0000 0.5000
Tb: 0.3333 0.6667 0.1814
Tb: 0.6667 0.3333 0.8186
Cd: 0.3333 0.6667 0.6656
Cd: 0.6667 0.3333 0.3344
Rh: 0.0000 0.0000 0.2491
Rh: 0.0000 0.0000 0.7509
Rh: 0.3333 0.6667 0.4214
Rh: 0.3333 0.6667 0.9167
Rh: 0.6667 0.3333 0.0833
Rh: 0.6667 0.3333 0.5786

---

two | A plane-wave DFT calculation with PBE was carried out for crystalline Tb2CdRh3 at its relaxed geometry.

Space-group type ... Immm, No. 71
Volume ... 122.8 Å³/cell

a = 6.0010 Å, b = 6.0010 Å, c = 6.0010 Å
α = 134.06°, β = 125.91°, γ = 73.63°
Sites, in units of the cell vectors:
Tb: 0.1792 0.1792 0.0000
Tb: 0.8208 0.8208 0.0000
Cd: 0.5000 0.5000 0.0000
Rh: 0.0000 0.5000 0.5000
Rh: 0.3523 0.8523 0.5000
Rh: 0.6477 0.1477 0.5000

---

Winner for stability: one

---

one | A plane-wave DFT calculation with PBE was carried out for crystalline TbCdRh2 at its relaxed geometry.

Space-group type ... P4/mmm, No. 123
Volume ... 72.6 Å³/cell

a = 4.4800 Å, b = 4.4800 Å, c = 3.6186 Å
α = 90.00°, β = 90.00°, γ = 90.00°
Sites, in units of the cell vectors:
Tb: 0.0000 0.0000 0.0000
Cd: 0.5000 0.5000 0.0000
Rh: 0.0000 0.5000 0.5000
Rh: 0.5000 0.0000 0.5000

---

two | A plane-wave DFT calculation with PBE was carried out for crystalline TbCdRh2 at its relaxed geometry.

Space-group type ... Fm-3m, No. 225
Volume ... 73.4 Å³/cell

a = 4.7005 Å, b = 4.7005 Å, c = 4.7005 Å
α = 60.00°, β = 60.00°, γ = 60.00°
Sites, in units of the cell vectors:
Tb: 0.0000 0.0000 0.0000
Cd: 0.5000 0.5000 0.5000
Rh: 0.2500 0.2500 0.2500
Rh: 0.7500 0.7500 0.7500

---

Winner for stability: one

---

one | A plane-wave DFT calculation with PBE was carried out for crystalline Tb3CdRh at its relaxed geometry.

Space-group type ... C2/m, No. 12
Volume ... 272.7 Å³/cell

a = 8.1426 Å, b = 8.1426 Å, c = 10.3300 Å
α = 123.31°, β = 123.31°, γ = 28.91°
Sites, in units of the cell vectors:
Tb: 0.0893 0.0893 0.4496
Tb: 0.3309 0.3309 0.1996
Tb: 0.3621 0.3621 0.7848
Tb: 0.6379 0.6379 0.2152
Tb: 0.6691 0.6691 0.8004
Tb: 0.9107 0.9107 0.5504
Cd: 0.0720 0.0720 0.9272
Cd: 0.9280 0.9280 0.0728
Rh: 0.2682 0.2682 0.4127
Rh: 0.7318 0.7318 0.5873

---

two | A plane-wave DFT calculation with PBE was carried out for crystalline Tb3CdRh at its relaxed geometry.

Space-group type ... P-1, No. 2
Volume ... 260.1 Å³/cell

a = 5.5906 Å, b = 6.1990 Å, c = 8.8328 Å
α = 102.51°, β = 99.90°, γ = 114.40°
Sites, in units of the cell vectors:
Tb: 0.0568 0.1958 0.2764
Tb: 0.2828 0.4244 0.7256
Tb: 0.3029 0.8031 0.1061
Tb: 0.6971 0.1969 0.8939
Tb: 0.7172 0.5756 0.2744
Tb: 0.9432 0.8042 0.7236
Cd: 0.3428 0.7609 0.4978
Cd: 0.6572 0.2391 0.5022
Rh: 0.2484 0.2478 0.9973
Rh: 0.7516 0.7522 0.0027

---

Winner for stability: two

---

one | A plane-wave DFT calculation with PBE was carried out for crystalline Tb4CdRh at its relaxed geometry.

Space-group type ... C2/c, No. 15
Volume ... 330.5 Å³/cell

a = 7.7756 Å, b = 7.7756 Å, c = 6.1203 Å
α = 99.54°, β = 99.54°, γ = 110.93°
Sites, in units of the cell vectors:
Tb: 0.0662 0.7215 0.9536
Tb: 0.2031 0.3696 0.6069
Tb: 0.2785 0.9338 0.5464
Tb: 0.3696 0.2031 0.1069
Tb: 0.6304 0.7969 0.8931
Tb: 0.7215 0.0662 0.4536
Tb: 0.7969 0.6304 0.3931
Tb: 0.9338 0.2785 0.0464
Cd: 0.3776 0.6224 0.2500
Cd: 0.6224 0.3776 0.7500
Rh: 0.9998 0.0002 0.2500
Rh: 0.0002 0.9998 0.7500

---

two | A plane-wave DFT calculation with PBE was carried out for crystalline Tb4CdRh at its relaxed geometry.

Space-group type ... F-43m, No. 216
Volume ... 635.2 Å³/cell

a = 9.6487 Å, b = 9.6487 Å, c = 9.6487 Å
α = 60.00°, β = 60.00°, γ = 60.00°
Sites, in units of the cell vectors:
Tb: 0.0607 0.0607 0.4393
Tb: 0.0607 0.4393 0.0607
Tb: 0.0607 0.4393 0.4393
Tb: 0.1864 0.1864 0.8136
Tb: 0.1864 0.8136 0.1864
Tb: 0.1864 0.8136 0.8136
Tb: 0.2009 0.5997 0.5997
Tb: 0.4393 0.0607 0.0607
Tb: 0.4393 0.0607 0.4393
Tb: 0.4393 0.4393 0.0607
Tb: 0.5997 0.2009 0.5997
Tb: 0.5997 0.5997 0.2009
Tb: 0.5997 0.5997 0.5997
Tb: 0.8136 0.1864 0.1864
Tb: 0.8136 0.1864 0.8136
Tb: 0.8136 0.8136 0.1864
Cd: 0.5071 0.8310 0.8310
Cd: 0.8310 0.5071 0.8310
Cd: 0.8310 0.8310 0.5071
Cd: 0.8310 0.8310 0.8310
Rh: 0.3925 0.3925 0.3925
Rh: 0.3925 0.3925 0.8226
Rh: 0.3925 0.8226 0.3925
Rh: 0.8226 0.3925 0.3925

---

Winner for stability: two

---

one | A plane-wave DFT calculation with PBE was carried out for crystalline Cd2TcRh at its relaxed geometry.

Space-group type ... I4/mmm, No. 139
Volume ... 70.0 Å³/cell

a = 4.9633 Å, b = 4.9633 Å, c = 4.9633 Å
α = 130.00°, β = 130.00°, γ = 73.40°
Sites, in units of the cell vectors:
Cd: 0.2500 0.7500 0.5000
Cd: 0.7500 0.2500 0.5000
Tc: 0.0000 0.0000 0.0000
Rh: 0.5000 0.5000 0.0000

---

two | A plane-wave DFT calculation with PBE was carried out for crystalline Cd2TcRh at its relaxed geometry.

Space-group type ... Imm2, No. 44
Volume ... 70.8 Å³/cell

a = 5.7903 Å, b = 5.7903 Å, c = 5.7903 Å
α = 151.30°, β = 130.14°, γ = 58.55°
Sites, in units of the cell vectors:
Cd: 0.0000 0.0000 0.0000
Cd: 0.7189 0.2189 0.5000
Tc: 0.4600 0.4600 0.0000
Rh: 0.2504 0.7504 0.5000

---

three | A plane-wave DFT calculation with PBE was carried out for crystalline Cd2TcRh at its relaxed geometry.

Space-group type ... Cmmm, No. 65
Volume ... 68.1 Å³/cell

a = 2.8026 Å, b = 2.8026 Å, c = 9.3021 Å
α = 90.00°, β = 90.00°, γ = 111.32°
Sites, in units of the cell vectors:
Cd: 0.0000 0.0000 0.2441
Cd: 0.0000 0.0000 0.7559
Tc: 0.5000 0.5000 0.5000
Rh: 0.5000 0.5000 0.0000

---

Winner for stability: two

---

one | A plane-wave DFT calculation with PBE was carried out for crystalline Cd2TcRh at its relaxed geometry.

Space-group type ... R3m, No. 160
Volume ... 69.8 Å³/cell

a = 9.9673 Å, b = 9.9673 Å, c = 9.9673 Å
α = 16.52°, β = 16.52°, γ = 16.52°
Sites, in units of the cell vectors:
Cd: 0.0000 0.0000 0.0000
Cd: 0.2349 0.2349 0.2349
Tc: 0.7507 0.7507 0.7507
Rh: 0.4857 0.4857 0.4857

---

two | A plane-wave DFT calculation with PBE was carried out for crystalline Cd2TcRh at its relaxed geometry.

Space-group type ... P2/m, No. 10
Volume ... 68.3 Å³/cell

a = 2.8062 Å, b = 4.7331 Å, c = 5.1608 Å
α = 90.00°, β = 95.18°, γ = 90.00°
Sites, in units of the cell vectors:
Cd: 0.2260 0.0000 0.2527
Cd: 0.7740 0.0000 0.7473
Tc: 0.5000 0.5000 0.0000
Rh: 0.0000 0.5000 0.5000

---

three | A plane-wave DFT calculation with PBE was carried out for crystalline Cd2TcRh at its relaxed geometry.

Space-group type ... Fm-3m, No. 225
Volume ... 69.4 Å³/cell

a = 4.6118 Å, b = 4.6118 Å, c = 4.6118 Å
α = 60.00°, β = 60.00°, γ = 60.00°
Sites, in units of the cell vectors:
Cd: 0.2500 0.2500 0.2500
Cd: 0.7500 0.7500 0.7500
Tc: 0.0000 0.0000 0.0000
Rh: 0.5000 0.5000 0.5000

---

Winner for stability: one

---

one | A plane-wave DFT calculation with PBE was carried out for crystalline Cd2TcRh at its relaxed geometry.

Space-group type ... P4mm, No. 99
Volume ... 69.7 Å³/cell

a = 2.8900 Å, b = 2.8900 Å, c = 8.3416 Å
α = 90.00°, β = 90.00°, γ = 90.00°
Sites, in units of the cell vectors:
Cd: 0.0000 0.0000 0.0000
Cd: 0.5000 0.5000 0.3015
Tc: 0.5000 0.5000 0.7449
Rh: 0.0000 0.0000 0.5504

---

two | A plane-wave DFT calculation with PBE was carried out for crystalline Cd2TcRh at its relaxed geometry.

Space-group type ... I-42d, No. 122
Volume ... 151.2 Å³/cell

a = 5.9607 Å, b = 5.9607 Å, c = 5.9607 Å
α = 101.44°, β = 101.44°, γ = 127.11°
Sites, in units of the cell vectors:
Cd: 0.1163 0.6250 0.9913
Cd: 0.3750 0.3663 0.4913
Cd: 0.6337 0.1250 0.0087
Cd: 0.8750 0.8837 0.5087
Tc: 0.2500 0.7500 0.5000
Tc: 0.5000 0.5000 0.0000
Rh: 0.0000 0.0000 0.0000
Rh: 0.7500 0.2500 0.5000

---

Winner for stability: one

---

one | A plane-wave DFT calculation with PBE was carried out for crystalline CdTc2Rh2 at its relaxed geometry.

Space-group type ... P4/mbm, No. 127
Volume ... 161.3 Å³/cell

a = 7.6471 Å, b = 7.6471 Å, c = 2.7575 Å
α = 90.00°, β = 90.00°, γ = 90.00°
Sites, in units of the cell vectors:
Cd: 0.0000 0.0000 0.0000
Cd: 0.5000 0.5000 0.0000
Tc: 0.1168 0.3832 0.0000
Tc: 0.3832 0.8832 0.0000
Tc: 0.6168 0.1168 0.0000
Tc: 0.8832 0.6168 0.0000
Rh: 0.1720 0.6720 0.5000
Rh: 0.3280 0.1720 0.5000
Rh: 0.6720 0.8280 0.5000
Rh: 0.8280 0.3280 0.5000

---

two | A plane-wave DFT calculation with PBE was carried out for crystalline CdTc2Rh2 at its relaxed geometry.

Space-group type ... P4/mbm, No. 127
Volume ... 159.9 Å³/cell

a = 7.6612 Å, b = 7.6612 Å, c = 2.7246 Å
α = 90.00°, β = 90.00°, γ = 90.00°
Sites, in units of the cell vectors:
Cd: 0.0000 0.0000 0.0000
Cd: 0.5000 0.5000 0.0000
Tc: 0.1720 0.3280 0.5000
Tc: 0.3280 0.8280 0.5000
Tc: 0.6720 0.1720 0.5000
Tc: 0.8280 0.6720 0.5000
Rh: 0.1221 0.6221 0.0000
Rh: 0.3779 0.1221 0.0000
Rh: 0.6221 0.8779 0.0000
Rh: 0.8779 0.3779 0.0000

---

Winner for stability: one

---

one | A plane-wave DFT calculation with PBE was carried out for crystalline Cd2Tc2Rh at its relaxed geometry.

Space-group type ... I4/mmm, No. 139
Volume ... 93.0 Å³/cell

a = 8.2304 Å, b = 8.2304 Å, c = 8.2304 Å
α = 155.88°, β = 155.88°, γ = 34.38°
Sites, in units of the cell vectors:
Cd: 0.0949 0.0949 0.0000
Cd: 0.9051 0.9051 0.0000
Tc: 0.2500 0.7500 0.5000
Tc: 0.7500 0.2500 0.5000
Rh: 0.5000 0.5000 0.0000

---

two | A plane-wave DFT calculation with PBE was carried out for crystalline Cd2Tc2Rh at its relaxed geometry.

Space-group type ... P4/mbm, No. 127
Volume ... 182.7 Å³/cell

a = 7.8094 Å, b = 7.8094 Å, c = 2.9957 Å
α = 90.00°, β = 90.00°, γ = 90.00°
Sites, in units of the cell vectors:
Cd: 0.1916 0.3084 0.0000
Cd: 0.3084 0.8084 0.0000
Cd: 0.6916 0.1916 0.0000
Cd: 0.8084 0.6916 0.0000
Tc: 0.1006 0.6006 0.5000
Tc: 0.3994 0.1006 0.5000
Tc: 0.6006 0.8994 0.5000
Tc: 0.8994 0.3994 0.5000
Rh: 0.0000 0.0000 0.0000
Rh: 0.5000 0.5000 0.0000

---

Winner for stability: one

---

one | A plane-wave DFT calculation with PBE was carried out for crystalline CdTeRh at its relaxed geometry.

Space-group type ... P3m1, No. 156
Volume ... 67.2 Å³/cell

a = 3.4989 Å, b = 3.4989 Å, c = 6.3397 Å
α = 90.00°, β = 90.00°, γ = 120.00°
Sites, in units of the cell vectors:
Cd: 0.0000 0.0000 0.0000
Te: 0.3333 0.6667 0.5728
Rh: 0.6667 0.3333 0.3179

---

two | A plane-wave DFT calculation with PBE was carried out for crystalline CdTeRh at its relaxed geometry.

Space-group type ... F-43m, No. 216
Volume ... 66.1 Å³/cell

a = 4.5378 Å, b = 4.5378 Å, c = 4.5378 Å
α = 60.00°, β = 60.00°, γ = 60.00°
Sites, in units of the cell vectors:
Cd: 0.0000 0.0000 0.0000
Te: 0.5000 0.5000 0.5000
Rh: 0.2500 0.2500 0.2500

---

three | A plane-wave DFT calculation with PBE was carried out for crystalline CdTeRh at its relaxed geometry.

Space-group type ... I4mm, No. 107
Volume ... 64.3 Å³/cell

a = 6.5765 Å, b = 6.5765 Å, c = 6.5765 Å
α = 151.58°, β = 151.58°, γ = 40.62°
Sites, in units of the cell vectors:
Cd: 0.0000 0.0000 0.0000
Te: 0.2729 0.2729 0.0000
Rh: 0.6490 0.6490 0.0000

---

Winner for stability: two

---

one | A plane-wave DFT calculation with PBE was carried out for crystalline TiCd3Rh at its relaxed geometry.

Space-group type ... Pm-3m, No. 221
Volume ... 140.2 Å³/cell

a = 5.1950 Å, b = 5.1950 Å, c = 5.1950 Å
α = 90.00°, β = 90.00°, γ = 90.00°
Sites, in units of the cell vectors:
Ti: 0.0000 0.0000 0.0000
Cd: 0.0000 0.0000 0.5000
Cd: 0.0000 0.5000 0.0000
Cd: 0.5000 0.0000 0.0000
Rh: 0.5000 0.5000 0.5000

---

two | A plane-wave DFT calculation with PBE was carried out for crystalline TiCd3Rh at its relaxed geometry.

Space-group type ... Pm-3m, No. 221
Volume ... 127.2 Å³/cell

a = 5.0295 Å, b = 5.0295 Å, c = 5.0295 Å
α = 90.00°, β = 90.00°, γ = 90.00°
Sites, in units of the cell vectors:
Ti: 0.0000 0.0000 0.0000
Cd: 0.0000 0.5000 0.5000
Cd: 0.5000 0.0000 0.5000
Cd: 0.5000 0.5000 0.0000
Rh: 0.5000 0.5000 0.5000

---

Winner for stability: two